A | ## Os3WC (PBE-GGA)

Data for a relaxed Os3WC crystal.

Cell: 4.722 4.722 4.722 Å, 90.00 90.00 90.00°
Atoms (fractional coordinates):
Os 0.000 0.000 0.500
Os 0.000 0.500 0.000
Os 0.500 0.000 0.000
W 0.000 0.000 0.000
C 0.500 0.500 0.500

=====

B | ## Os3WC (PBE-GGA)

Data for a relaxed Os3WC crystal.

Cell: 4.063 4.063 4.063 Å, 90.00 90.00 90.00°
Atoms (fractional coordinates):
Os 0.000 0.000 0.500
Os 0.000 0.500 0.000
Os 0.500 0.000 0.000
W 0.500 0.500 0.500
C 0.000 0.000 0.000

=====

B is favored, and the nearest alternative lies 3104 meV/atom above it.